[1]
# CuAsOs4, relaxed, DFT PBE
data_CuAsOs4
_cell_length_a 7.319
_cell_length_b 7.319
_cell_length_c 7.319
_cell_angle_alpha 90.00
_cell_angle_beta 90.00
_cell_angle_gamma 90.00
_space_group_name_H-M_alt 'F -4 3 m'
_space_group_IT_number 216
_space_group_name_Hall 'F -4 2 3'
loop_
_atom_site_label
_atom_site_type_symbol
_atom_site_fract_x
_atom_site_fract_y
_atom_site_fract_z
_atom_site_occupancy
Cu1 Cu 0.000 0.000 0.000 1
As1 As 0.250 0.250 0.250 1
Os1 Os 0.125 0.125 0.625 1
# Volume, Å³/atom: 16.34
# Formation energy from the elements, eV/atom: 0.99

---

[2]
# P2IrAu, relaxed, DFT PBE
data_P2IrAu
_cell_length_a 3.771
_cell_length_b 3.864
_cell_length_c 5.626
_cell_angle_alpha 104.76
_cell_angle_beta 94.65
_cell_angle_gamma 112.30
_space_group_name_H-M_alt 'P -1'
_space_group_IT_number 2
_space_group_name_Hall '-P 1'
loop_
_atom_site_label
_atom_site_type_symbol
_atom_site_fract_x
_atom_site_fract_y
_atom_site_fract_z
_atom_site_occupancy
P1 P 0.185 0.422 0.154 1
Ir1 Ir 0.500 0.000 0.000 1
Au1 Au 0.500 0.000 0.500 1
# Volume, Å³/atom: 17.97
# Polymorph energy (0 for the lowest one), meV/atom: 68
# Formation energy from the elements, eV/atom: -0.16

---

Looking at Fermi-level density of states for the records above, in order, we have 32.8; 0.9 states/eV/cell.